1.
The following is a GGA-PBE calculation of a relaxed structure of Pm6PrNd, from Alexandria. Values from VASP.

VASP energy = -4.742 eV/atom
D(E_F) = 13.13 states/eV/cell

Geometry as Quantum ESPRESSO input:
```
&SYSTEM
  ibrav = 0, nat = 8, ntyp = 3
/
ATOMIC_SPECIES
Pm 145.00 Pm.upf
Pr 140.91 Pr.upf
Nd 144.24 Nd.upf
CELL_PARAMETERS angstrom
5.1750 0.0000 0.0000
0.0000 5.1750 0.0000
0.0000 0.0000 10.3490
ATOMIC_POSITIONS angstrom
Pm 0.0000 0.0000 0.0000
Pm 0.0000 0.0000 5.1745
Pm 0.0000 2.5875 2.5816
Pm 0.0000 2.5875 7.7674
Pm 2.5875 0.0000 2.5816
Pm 2.5875 0.0000 7.7674
Pr 2.5875 2.5875 5.1745
Nd 2.5875 2.5875 0.0000
```

---

2.
The following is a GGA-PBE calculation of a relaxed structure of TiSbSeBr2, from Alexandria. Values from VASP.

VASP energy = -4.037 eV/atom
raw formation energy = -267 meV/atom
D(E_F) = 3.72 states/eV/cell
polymorph energy (0 for the lowest one) = 0 meV per atom

Geometry as Quantum ESPRESSO input:
```
&SYSTEM
  ibrav = 0, nat = 5, ntyp = 4
/
ATOMIC_SPECIES
Ti 47.87 Ti.upf
Sb 121.76 Sb.upf
Se 78.96 Se.upf
Br 79.90 Br.upf
CELL_PARAMETERS angstrom
5.0972 0.0000 0.0000
0.0000 5.0972 0.0000
0.0000 0.0000 5.2109
ATOMIC_POSITIONS angstrom
Ti 0.0000 0.0000 0.0000
Sb 2.5486 2.5486 2.6054
Se 0.0000 0.0000 2.6054
Br 0.0000 2.5486 0.0000
Br 2.5486 0.0000 0.0000
```

---

3.
The following is a GGA-PBE calculation of a relaxed structure of Li2Cu2Pd5Pt, from Alexandria. Values from VASP.

VASP energy = -4.504 eV/atom
D(E_F) = 19.23 states/eV/cell

Geometry as Quantum ESPRESSO input:
```
&SYSTEM
  ibrav = 0, nat = 20, ntyp = 4
/
ATOMIC_SPECIES
Li 6.94 Li.upf
Cu 63.55 Cu.upf
Pd 106.42 Pd.upf
Pt 195.08 Pt.upf
CELL_PARAMETERS angstrom
8.8184 0.0000 0.0000
0.0000 8.8184 0.0000
0.0000 0.0000 3.9952
ATOMIC_POSITIONS angstrom
Li 1.5281 2.8811 0.0000
Li 2.8811 7.2903 0.0000
Li 5.9373 1.5281 0.0000
Li 7.2903 5.9373 0.0000
Cu 1.0909 5.5001 0.0000
Cu 3.3184 1.0909 0.0000
Cu 5.5001 7.7276 0.0000
Cu 7.7276 3.3184 0.0000
Pd 0.0000 4.4092 1.9976
Pd 0.6986 7.0417 1.9976
Pd 1.7768 0.6986 1.9976
Pd 2.6324 5.1079 1.9976
Pd 3.7106 2.6324 1.9976
Pd 4.4092 0.0000 1.9976
Pd 5.1079 6.1860 1.9976
Pd 6.1860 3.7106 1.9976
Pd 7.0417 8.1198 1.9976
Pd 8.1198 1.7768 1.9976
Pt 0.0000 0.0000 0.0000
Pt 4.4092 4.4092 0.0000
```

---

4.
The following is a GGA-PBE calculation of a relaxed structure of Hg2WSe, from Alexandria. Values from VASP.

VASP energy = -3.347 eV/atom
raw formation energy = 914 meV/atom
D(E_F) = 2.64 states/eV/cell

Geometry as Quantum ESPRESSO input:
```
&SYSTEM
  ibrav = 0, nat = 4, ntyp = 3
/
ATOMIC_SPECIES
Hg 200.59 Hg.upf
W 183.84 W.upf
Se 78.96 Se.upf
CELL_PARAMETERS angstrom
-2.1530 2.1530 4.3050
2.1530 -2.1530 4.3050
2.1530 2.1530 -4.3050
ATOMIC_POSITIONS angstrom
Hg 0.0000 0.0000 0.0000
Hg 0.0000 2.1530 2.1525
W 0.0000 0.0000 4.3050
Se 2.1530 0.0000 2.1525
```

---

5.
The following is a GGA-PBE calculation of a relaxed structure of Tb8Y2Cd, from Alexandria. Values from VASP.

VASP energy = -4.492 eV/atom
D(E_F) = 15.72 states/eV/cell
polymorph energy (0 for the lowest one) = 146 meV per atom

Geometry as Quantum ESPRESSO input:
```
&SYSTEM
  ibrav = 0, nat = 11, ntyp = 3
/
ATOMIC_SPECIES
Tb 158.93 Tb.upf
Y 88.91 Y.upf
Cd 112.41 Cd.upf
CELL_PARAMETERS angstrom
7.6041 -3.3287 0.0000
7.6041 3.3287 0.0000
-1.6530 0.0000 6.8049
ATOMIC_POSITIONS angstrom
Tb 0.4375 0.0000 4.7438
Tb 5.0621 1.7838 5.4149
Tb 3.4063 0.0000 3.4427
Tb 8.4932 1.7838 1.3900
Tb 5.0621 -1.7838 5.4149
Tb 10.1490 0.0000 3.3622
Tb 8.4932 -1.7838 1.3900
Tb 13.1178 0.0000 2.0611
Y 4.5410 0.0000 0.4030
Y 9.0143 0.0000 6.4019
Cd 6.7776 0.0000 3.4025
```

---

6.
The following is a GGA-PBE calculation of a relaxed structure of HfBeAl3, from Alexandria. Values from VASP.

VASP energy = -3.487 eV/atom
D(E_F) = 5.71 states/eV/cell
polymorph energy (0 for the lowest one) = 1131 meV per atom

Geometry as Quantum ESPRESSO input:
```
&SYSTEM
  ibrav = 0, nat = 5, ntyp = 3
/
ATOMIC_SPECIES
Hf 178.49 Hf.upf
Be 9.01 Be.upf
Al 26.98 Al.upf
CELL_PARAMETERS angstrom
5.2161 0.0000 0.0000
0.0000 5.2161 0.0000
0.0000 0.0000 5.2161
ATOMIC_POSITIONS angstrom
Hf 0.0000 0.0000 0.0000
Be 2.6081 2.6081 2.6081
Al 0.0000 0.0000 2.6081
Al 0.0000 2.6081 0.0000
Al 2.6081 0.0000 0.0000
```

---

7.
The following is a GGA-PBE calculation of a relaxed structure of SmFe12Si6, from Alexandria. Values from VASP.

VASP energy = -7.549 eV/atom
raw formation energy = -243 meV/atom
D(E_F) = 20.18 states/eV/cell

Geometry as Quantum ESPRESSO input:
```
&SYSTEM
  ibrav = 0, nat = 19, ntyp = 3
/
ATOMIC_SPECIES
Sm 150.36 Sm.upf
Fe 55.84 Fe.upf
Si 28.09 Si.upf
CELL_PARAMETERS angstrom
5.2143 3.0105 2.6491
-5.2143 3.0105 2.6491
0.0000 -6.0209 2.6491
ATOMIC_POSITIONS angstrom
Sm 0.0000 0.0000 0.0000
Fe -1.9653 -3.4039 3.9737
Fe -3.9305 0.0000 3.9737
Fe -1.4089 -0.8134 2.7353
Fe 1.4089 -0.8134 2.7353
Fe 0.0000 1.6269 2.7353
Fe 1.9653 -3.4039 3.9737
Fe -1.9653 3.4039 3.9737
Fe 0.0000 -1.6269 5.2121
Fe -1.4089 0.8134 5.2121
Fe 1.4089 0.8134 5.2121
Fe 3.9305 0.0000 3.9737
Fe 1.9653 3.4039 3.9737
Si 0.0000 -2.7751 3.1736
Si -2.4033 1.3875 3.1736
Si -2.4033 -1.3875 4.7738
Si 2.4033 1.3875 3.1736
Si 2.4033 -1.3875 4.7738
Si 0.0000 2.7751 4.7738
```

---

8.
The following is a GGA-PBE calculation of a relaxed structure of Zn2TcNF, from Alexandria. Values from VASP.

VASP energy = -3.655 eV/atom
raw formation energy = 967 meV/atom
D(E_F) = 2.93 states/eV/cell

Geometry as Quantum ESPRESSO input:
```
&SYSTEM
  ibrav = 0, nat = 5, ntyp = 4
/
ATOMIC_SPECIES
Zn 65.41 Zn.upf
Tc 98.00 Tc.upf
N 14.01 N.upf
F 19.00 F.upf
CELL_PARAMETERS angstrom
3.8963 0.0000 0.0000
0.0000 3.8963 0.0000
0.0000 0.0000 4.6021
ATOMIC_POSITIONS angstrom
Zn 0.0000 1.9481 0.0000
Zn 1.9481 0.0000 0.0000
Tc 0.0000 0.0000 2.3010
N 1.9481 1.9481 2.3010
F 1.9481 1.9481 0.0000
```